Record 1
## Er5HgTe5 (PBE)

Data for crystalline Er5HgTe5 at its relaxed geometry.

Calculated values
Calculated total energy, eV per atom: -4.68
M_tot, μB per atom: 0.000
SG: C2/m
Calculated density, g/cm3: 8.18
Formation energy from raw total energies, eV/atom: -1.155

Lattice parameters (Å, degrees): 6.122 7.499 8.559 106.82 90.00 114.09
Sites, in units of the cell vectors:
1 Er 0.838 0.676 0.165
2 Er 0.838 0.676 0.671
3 Er 0.500 0.000 0.000
4 Er 0.162 0.324 0.329
5 Er 0.162 0.324 0.835
6 Hg 0.000 0.000 0.000
7 Te 0.671 0.343 0.337
8 Te 0.665 0.331 0.828
9 Te 0.000 0.000 0.500
10 Te 0.335 0.669 0.172
11 Te 0.329 0.657 0.663

---

Record 2
## ScIBrN2 (PBE)

Data for crystalline ScIBrN2 at its relaxed geometry.

Calculated values
Calculated total energy, eV per atom: -3.60
Distance to the lowest polymorph of the same formula, eV/f.u.: 4.582
M_tot, μB per atom: 0.236
SG: P4/mmm
Calculated density, g/cm3: 4.43
Formation energy from raw total energies, eV/atom: 1.638

Lattice parameters (Å, degrees): 4.099 4.099 6.246 90.00 90.00 90.00
Sites, in units of the cell vectors:
1 I 0.000 0.000 0.500
2 Sc 0.500 0.500 0.500
3 Br 0.000 0.000 0.000
4 N 0.000 0.500 0.000
5 N 0.500 0.000 0.000

---

Record 3
## HgOsSeN2 (PBE)

Data for crystalline HgOsSeN2 at its relaxed geometry.

Calculated values
Calculated total energy, eV per atom: -3.54
Distance to the lowest polymorph of the same formula, eV/f.u.: 10.923
M_tot, μB per atom: 0.723
SG: P4/mmm
Calculated density, g/cm3: 8.22
Formation energy from raw total energies, eV/atom: 2.796

Lattice parameters (Å, degrees): 3.975 3.975 6.369 90.00 90.00 90.00
Sites, in units of the cell vectors:
1 Os 0.500 0.500 0.500
2 Hg 0.000 0.000 0.000
3 Se 0.000 0.000 0.500
4 N 0.000 0.500 0.000
5 N 0.500 0.000 0.000

---

| no. | DOS at the Fermi energy (states/eV/cell) |
| --- | --- |
| 1 | 4.76 |
| 2 | 3.57 |
| 3 | 6.96 |